Entry from Alexandria: a relaxed Li4Mn3CoO8 crystal (GGA+U).

Unit cell a=9.802 b=9.802 c=5.121 alpha=84.64 beta=84.64 gamma=17.09
Sites, in units of the cell vectors:
Li 0.626 0.626 0.116
Li 0.876 0.876 0.373
Li 0.124 0.124 0.627
Li 0.374 0.374 0.884
Mn 0.250 0.250 0.250
Mn 0.500 0.500 0.500
Mn 0.750 0.750 0.750
Co 0.000 0.000 0.000
O 0.558 0.558 0.791
O 0.806 0.806 0.067
O 0.057 0.057 0.336
O 0.305 0.305 0.571
O 0.695 0.695 0.429
O 0.943 0.943 0.664
O 0.194 0.194 0.933
O 0.442 0.442 0.209

**Volume**: 143.9 Å³/cell
**Energy relative to the lowest polymorph listed for this composition**: 2.92 kcal/mol of atoms